1.
VASP calculation (PBE) on a geometry-optimized CoMo2W structure.

Energy of formation from the pure elements, eV/atom: 0.276
V, Å³ per cell: 59
Space group: No. 25
DOS at the Fermi energy, states/eV per cell: 3.73
Energy above the lowest structure with this stoichiometry, meV/atom: 201

Unit cell a=2.6586 b=3.9263 c=5.6755 alpha=90.00 beta=90.00 gamma=90.00
Last column: nearest neighbours and their distance in Å.
Fractional coordinates of all 4 atoms:
Co (0.0000, 0.0000, 0.0000)  2 Co 2.66, 4 W 2.71, 6 Mo 2.73-2.85
Mo (0.0000, 0.0000, 0.5017)  6 Mo 2.66-2.80, 4 W 2.82, 2 Co 2.83-2.85
Mo (0.5000, 0.5000, 0.2377)  1 W 2.66, 6 Mo 2.66-2.80, 4 Co 2.73
W (0.5000, 0.5000, 0.7696)  5 Mo 2.66-2.82, 2 W 2.66, 4 Co 2.71

=====

2.
VASP calculation (PBE) on a geometry-optimized NaSnPdAu structure.

Energy of formation from the pure elements, eV/atom: -0.304
V, Å³ per cell: 76
Space group: No. 216
DOS at the Fermi energy, states/eV per cell: 2.01

Unit cell a=4.7462 b=4.7462 c=4.7462 alpha=60.00 beta=60.00 gamma=60.00
Last column: nearest neighbours and their distance in Å.
Fractional coordinates of all 4 atoms:
Na (0.0000, 0.0000, 0.0000)  4 Pd 2.91, 4 Au 2.91
Sn (0.5000, 0.5000, 0.5000)  4 Pd 2.91, 4 Au 2.91
Pd (0.7500, 0.7500, 0.7500)  4 Sn 2.91, 4 Na 2.91
Au (0.2500, 0.2500, 0.2500)  4 Sn 2.91, 4 Na 2.91

=====

3.
VASP calculation (PBE) on a geometry-optimized LiTb2TlSe4 structure.

V, Å³ per cell: 432
Space group: No. 63
Formation energy (no corrections), eV/atom: -1.514

Unit cell a=7.3119 b=7.3119 c=14.7080 alpha=90.00 beta=90.00 gamma=146.70
Last column: nearest neighbours and their distance in Å.
Fractional coordinates of all 16 atoms:
Li (0.1695, 0.8305, 0.7500)  4 Se 2.48-2.50
Li (0.8305, 0.1695, 0.2500)  4 Se 2.48-2.50
Tb (0.3658, 0.6342, 0.0619)  6 Se 2.86-2.96
Tb (0.3658, 0.6342, 0.4381)  6 Se 2.86-2.96
Tb (0.6342, 0.3658, 0.5619)  6 Se 2.86-2.96
Tb (0.6342, 0.3658, 0.9381)  6 Se 2.86-2.96
Tl (0.1046, 0.8954, 0.2500)  6 Se 3.24-3.48
Tl (0.8954, 0.1046, 0.7500)  6 Se 3.24-3.48
Se (0.0000, 0.0000, 0.0000)  4 Tb 2.96
Se (0.0000, 0.0000, 0.5000)  4 Tb 2.96
Se (0.2650, 0.7350, 0.6078)  1 Li 2.48
Se (0.2650, 0.7350, 0.8922)  1 Li 2.48
Se (0.4285, 0.5715, 0.2500)  2 Li 2.50
Se (0.5715, 0.4285, 0.7500)  2 Li 2.50
Se (0.7350, 0.2650, 0.1078)  1 Li 2.48
Se (0.7350, 0.2650, 0.3922)  1 Li 2.48

=====

4.
VASP calculation (PBE) on a geometry-optimized CeErTl structure.

Energy of formation from the pure elements, eV/atom: -0.037
V, Å³ per cell: 181
Space group: No. 166
DOS at the Fermi energy, states/eV per cell: 12.79
Energy above the lowest structure with this stoichiometry, meV/atom: 171

Unit cell a=8.5327 b=8.5327 c=8.5327 alpha=34.79 beta=34.79 gamma=34.79
Last column: nearest neighbours and their distance in Å.
Fractional coordinates of all 6 atoms:
Ce (0.1448, 0.1448, 0.1448)  3 Ce 3.13, 3 Tl 3.24, 1 Er 3.45
Ce (0.8552, 0.8552, 0.8552)  3 Ce 3.13, 3 Tl 3.24, 1 Er 3.45
Er (0.2885, 0.2885, 0.2885)  4 Tl 3.13-3.22, 1 Ce 3.45
Er (0.7115, 0.7115, 0.7115)  4 Tl 3.13-3.22, 1 Ce 3.45
Tl (0.4223, 0.4223, 0.4223)  4 Er 3.13-3.22, 3 Ce 3.24
Tl (0.5777, 0.5777, 0.5777)  4 Er 3.13-3.22, 3 Ce 3.24

=====

5.
VASP calculation (PBE) on a geometry-optimized LiTiO2 structure.

V, Å³ per cell: 94
Space group: No. 122
DOS at the Fermi energy, states/eV per cell: 6.97
Formation energy (no corrections), eV/atom: -2.435

Unit cell a=5.5529 b=5.5529 c=5.5529 alpha=131.54 beta=131.54 gamma=70.96
Last column: nearest neighbours and their distance in Å.
Fractional coordinates of all 8 atoms:
Li (0.0000, 0.0000, 0.0000)  4 O 2.01
Li (0.7500, 0.2500, 0.5000)  4 O 2.01
Ti (0.2500, 0.7500, 0.5000)  4 O 1.93
Ti (0.5000, 0.5000, 0.0000)  4 O 1.93
O (0.1403, 0.6250, 0.0153)  2 Ti 1.93, 2 Li 2.01
O (0.3750, 0.3903, 0.5153)  2 Ti 1.93, 2 Li 2.01
O (0.6097, 0.1250, 0.9847)  2 Ti 1.93, 2 Li 2.01
O (0.8750, 0.8597, 0.4847)  2 Ti 1.93, 2 Li 2.01

=====

6.
VASP calculation (PBE) on a geometry-optimized Nd3Er8Tm structure.

Energy of formation from the pure elements, eV/atom: 0.635
V, Å³ per cell: 429
Space group: No. 121
DOS at the Fermi energy, states/eV per cell: 17.71

Unit cell a=8.3567 b=8.3567 c=8.3567 alpha=117.05 beta=117.05 gamma=95.19
Last column: nearest neighbours and their distance in Å.
Fractional coordinates of all 12 atoms:
Nd (0.0000, 0.0000, 0.0000)  8 Er 3.17-3.27
Nd (0.2500, 0.7500, 0.5000)  4 Er 3.45
Nd (0.7500, 0.2500, 0.5000)  4 Er 3.45
Er (0.1300, 0.3816, 0.0000)  3 Er 3.10-3.24, 1 Tm 3.16, 3 Nd 3.27-3.45
Er (0.2441, 0.2441, 0.5139)  1 Tm 3.00, 1 Nd 3.17, 2 Er 3.18-3.24
Er (0.2699, 0.7559, 0.0000)  1 Tm 3.00, 1 Nd 3.17, 2 Er 3.18-3.24
Er (0.3816, 0.1300, 0.0000)  3 Er 3.10-3.24, 1 Tm 3.16, 3 Nd 3.27-3.45
Er (0.6184, 0.6184, 0.7484)  3 Er 3.10-3.24, 1 Tm 3.16, 3 Nd 3.27-3.45
Er (0.7301, 0.7301, 0.4861)  1 Tm 3.00, 1 Nd 3.17, 2 Er 3.18-3.24
Er (0.7559, 0.2699, 0.0000)  1 Tm 3.00, 1 Nd 3.17, 2 Er 3.18-3.24
Er (0.8700, 0.8700, 0.2516)  3 Er 3.10-3.24, 1 Tm 3.16, 3 Nd 3.27-3.45
Tm (0.5000, 0.5000, 0.0000)  8 Er 3.00-3.16

=====

For each record above, in turn, the calculated E_tot values are -10.15; -3.75; -4.95; -4.32; -7.37; -3.97 eV per atom.
For each record above, in turn, the calculated M_tot values are 0.00; 0.00; 0.00; 0.94; 0.99; 0.00 μB per formula unit.